MnReSe2: relaxed, PBE-GGA.

Output
Magnetic moment in μB per formula unit: 3.6
Energy in eV per cell: -25.13
Formation energy from raw total energies in eV/atom: 0.865
E above lowest polymorph in eV/atom: 1.0007

POSCAR file:
```
MnReSe2
1.0
0.000 3.203 3.203
3.203 0.000 3.203
3.203 3.203 0.000
Mn Re Se
1 1 2
direct
0.000 0.000 0.000
0.250 0.250 0.250
0.500 0.500 0.500
0.750 0.750 0.750
```

SrCe3Al8: relaxed, PBE-GGA.

Output
Magnetic moment in μB per formula unit: 1.8
Energy of formation from the pure elements in kJ/mol of formula units: -434.3
Energy in eV per cell: -53.92

POSCAR file:
```
SrCe3Al8
1.0
5.708 0.000 0.000
-2.854 4.943 0.000
0.000 0.000 9.121
Sr Ce Al
1 3 8
direct
0.000 0.000 0.000
0.000 0.000 0.363
0.667 0.333 0.518
0.667 0.333 0.843
0.162 0.324 0.676
0.162 0.838 0.676
0.333 0.667 0.431
0.333 0.667 0.928
0.506 0.011 0.187
0.506 0.494 0.187
0.676 0.838 0.676
0.989 0.494 0.187
```

GeCBr2: relaxed, PBE-GGA.

Output
Magnetic moment in μB per formula unit: 1.8
Energy in eV per cell: -10.89
Formation energy from raw total energies in eV/atom: 1.574
E above lowest polymorph in eV/atom: 0.1546

POSCAR file:
```
GeCBr2
1.0
0.000 3.482 3.482
3.482 0.000 3.482
3.482 3.482 0.000
Ge C Br
1 1 2
direct
0.000 0.000 0.000
0.500 0.500 0.500
0.250 0.250 0.250
0.750 0.750 0.750
```

BeCdAs2: relaxed, PBE-GGA.

Output
Magnetic moment in μB per formula unit: 0.0
Energy of formation from the pure elements in kJ/mol of formula units: 217.4
Energy in eV per cell: -11.69
E above lowest polymorph in eV/atom: 0.4991

POSCAR file:
```
BeCdAs2
1.0
0.000 3.315 3.315
3.315 0.000 3.315
3.315 3.315 0.000
Be Cd As
1 1 2
direct
0.000 0.000 0.000
0.500 0.500 0.500
0.250 0.250 0.250
0.750 0.750 0.750
```

IrOsAu2: relaxed, PBE-GGA.

Output
Magnetic moment in μB per formula unit: 0.7
Energy of formation from the pure elements in kJ/mol of formula units: 237.7
Energy in eV per cell: -24.18
E above lowest polymorph in eV/atom: 0.3800

POSCAR file:
```
IrOsAu2
1.0
-1.382 2.412 4.915
1.382 -2.412 4.915
1.382 2.412 -4.915
Ir Os Au
1 1 2
direct
0.000 0.000 0.000
0.500 0.500 0.000
0.252 0.752 0.500
0.748 0.248 0.500
```

CsNa: relaxed, PBE-GGA.

Output
Magnetic moment in μB per formula unit: 0.0
Energy of formation from the pure elements in kJ/mol of formula units: 5.6
Energy in eV per cell: -16.91

POSCAR file:
```
CsNa
1.0
12.342 0.000 0.000
0.000 7.317 0.000
0.000 0.000 12.804
Cs Na
8 8
direct
0.009 0.250 0.248
0.245 0.750 0.082
0.255 0.250 0.582
0.491 0.750 0.748
0.509 0.250 0.252
0.745 0.750 0.418
0.755 0.250 0.918
0.991 0.750 0.752
0.095 0.750 0.422
0.111 0.250 0.911
0.389 0.750 0.411
0.405 0.250 0.922
0.595 0.750 0.078
0.611 0.250 0.589
0.889 0.750 0.089
0.905 0.250 0.578
```

GeRuSe2: relaxed, PBE-GGA.

Output
Magnetic moment in μB per formula unit: 0.0
Energy in eV per cell: -40.50
Formation energy from raw total energies in eV/atom: 0.153

POSCAR file:
```
GeRuSe2
1.0
-3.015 3.015 5.438
3.015 -3.015 5.438
3.015 3.015 -5.438
Ge Ru Se
2 2 4
direct
0.000 0.000 0.000
0.750 0.250 0.500
0.250 0.750 0.500
0.500 0.500 0.000
0.165 0.625 0.040
0.375 0.415 0.540
0.585 0.125 0.960
0.875 0.835 0.460
```

LaPaTc2: relaxed, PBE-GGA.

Output
Magnetic moment in μB per formula unit: 0.0
Energy of formation from the pure elements in kJ/mol of formula units: 45.0
Energy in eV per cell: -34.69
E above lowest polymorph in eV/atom: 0.1777

POSCAR file:
```
LaPaTc2
1.0
0.000 3.500 3.500
3.500 0.000 3.500
3.500 3.500 0.000
La Pa Tc
1 1 2
direct
0.000 0.000 0.000
0.500 0.500 0.500
0.250 0.250 0.250
0.750 0.750 0.750
```

Ho5TePb4: relaxed, PBE-GGA.

Output
Magnetic moment in μB per formula unit: 0.0
Energy in eV per cell: -46.52
Formation energy from raw total energies in eV/atom: -0.566

POSCAR file:
```
Ho5TePb4
1.0
-4.939 4.939 3.118
4.939 -4.939 3.118
4.939 4.939 -3.118
Ho Te Pb
5 1 4
direct
0.000 0.000 0.000
0.202 0.402 0.605
0.402 0.798 0.200
0.598 0.202 0.800
0.798 0.598 0.395
0.500 0.500 0.000
0.101 0.701 0.802
0.299 0.101 0.400
0.701 0.899 0.600
0.899 0.299 0.198
```

Pm8Y6Sc: relaxed, PBE-GGA.

Output
Magnetic moment in μB per formula unit: 0.0
Energy of formation from the pure elements in kJ/mol of formula units: 163.9
Energy in eV per cell: -81.42

POSCAR file:
```
Pm8Y6Sc
1.0
4.562 2.634 6.921
-4.562 2.634 6.921
0.000 -5.268 6.921
Pm Y Sc
8 6 1
direct
0.077 0.077 0.077
0.218 0.612 0.254
0.254 0.218 0.612
0.388 0.746 0.782
0.612 0.254 0.218
0.746 0.782 0.388
0.782 0.388 0.746
0.923 0.923 0.923
0.043 0.598 0.742
0.258 0.957 0.402
0.402 0.258 0.957
0.598 0.742 0.043
0.742 0.043 0.598
0.957 0.402 0.258
0.500 0.500 0.500
```

Ce2Te4Cl2O11: relaxed, PBE-GGA.

Output
Magnetic moment in μB per formula unit: 0.0
Energy in eV per cell: -232.30
Formation energy from raw total energies in eV/atom: -1.762

POSCAR file:
```
Ce2Te4Cl2O11
1.0
8.277 0.000 0.000
-0.985 10.329 0.000
-3.924 -4.441 9.155
Ce Te Cl O
4 8 4 22
direct
0.116 0.388 0.383
0.379 0.116 0.113
0.621 0.884 0.887
0.884 0.612 0.617
0.058 0.760 0.051
0.225 0.964 0.684
0.324 0.485 0.769
0.487 0.745 0.491
0.513 0.255 0.509
0.676 0.515 0.231
0.775 0.036 0.316
0.942 0.240 0.949
0.123 0.894 0.388
0.370 0.600 0.110
0.630 0.400 0.890
0.877 0.106 0.612
0.010 0.667 0.851
0.044 0.810 0.639
0.116 0.505 0.624
0.136 0.153 0.977
0.238 0.922 0.105
0.307 0.581 0.429
0.334 0.251 0.334
0.360 0.384 0.593
0.370 0.993 0.884
0.402 0.862 0.651
0.464 0.671 0.837
0.536 0.329 0.163
0.598 0.138 0.349
0.630 0.007 0.116
0.640 0.616 0.407
0.666 0.749 0.666
0.693 0.419 0.571
0.762 0.078 0.895
0.864 0.847 0.023
0.884 0.495 0.376
0.956 0.190 0.361
0.990 0.333 0.149
```

ScPt2Cl: relaxed, PBE-GGA.

Output
Magnetic moment in μB per formula unit: 0.0
Energy in eV per cell: -23.58
Formation energy from raw total energies in eV/atom: -0.830
E above lowest polymorph in eV/atom: 0.0000

POSCAR file:
```
ScPt2Cl
1.0
4.595 -1.638 0.000
4.595 1.638 0.000
-1.706 0.000 6.893
Sc Pt Cl
1 2 1
direct
0.000 0.000 0.000
0.299 0.299 0.765
0.575 0.575 0.745
0.564 0.564 0.275
```

- Which of these has the highest magnetic moment?
  MnReSe2